Entry from the Alexandria database: crystalline InAgIr at its relaxed geometry (PBE).

## Properties
Energy relative to the elements   0.8 eV/f.u.
Crystal system   cubic
Distance to the lowest polymorph of the same formula   179 meV per atom
Calculated total energy   -0.335 Ry/atom

a = 4.4624 Å, b = 4.4624 Å, c = 4.4624 Å
α = 60.00°, β = 60.00°, γ = 60.00°
With the nearest neighbours (Å) after each atom.
Fractional coordinates of all 3 atoms:
In 0.0000 0.0000 0.0000  4 Ir 2.73
Ag 0.5000 0.5000 0.5000  4 Ir 2.73
Ir 0.2500 0.2500 0.2500  4 In 2.73, 4 Ag 2.73